A plane-wave DFT calculation with PBE+U was carried out for a geometry-optimized MoP2O2 structure.

a b c (Å): 3.648 3.648 5.131
angles (deg): 90.00 90.00 90.00
Each line ends with the local moment (μB).
Element x y z (fractional)
Mo (0.500, 0.500, 0.500)  2.99
P (0.500, 0.000, 0.000)  -0.18
P (0.000, 0.500, 0.000)  -0.18
O (0.000, 0.000, 0.000)  -0.06
O (0.000, 0.000, 0.500)  -0.16

Properties
N(E_F): 3.0 states/eV per cell
E above lowest polymorph: 4.14 eV per formula unit
calculated total energy: -5.10 eV/atom
magnetic moment: 2.20 μB/cell
calculated density: 4.62 Mg/m³